[1]
{"formula": "AcSn2Bi", "functional": "PBE", "state": "optimized geometry", "cell": [[5.075, 0.000, 0.000], [0.000, 4.944, 0.000], [0.000, 0.000, 4.944]], "species": ["Ac", "Bi", "Sn", "Sn"], "fractional_positions": [[0.500, 0.500, 0.500], [0.500, 0.000, 0.000], [0.000, 0.000, 0.500], [0.000, 0.500, 0.000]], "vol_a3_per_atom": 31.00, "magmom_total_mub_per_atom": 0.0000, "e_tot_ev_per_atom": -4.4984, "rho_g_cm3": 9.02, "formation_enthalpy_0k_ev_per_atom": -0.500}

[2]
{"formula": "Ac12Sn6Bi", "functional": "PBE", "state": "optimized geometry", "cell": [[9.667, -0.137, -0.165], [-1.601, 9.535, -0.165], [-1.601, -1.866, 9.352]], "species": ["Ac", "Ac", "Ac", "Ac", "Ac", "Ac", "Ac", "Ac", "Ac", "Ac", "Ac", "Ac", "Sn", "Sn", "Sn", "Sn", "Sn", "Sn", "Bi"], "fractional_positions": [[0.815, 0.579, 0.441], [0.441, 0.815, 0.579], [0.579, 0.441, 0.815], [0.185, 0.421, 0.559], [0.559, 0.185, 0.421], [0.421, 0.559, 0.185], [0.066, 0.950, 0.334], [0.050, 0.666, 0.934], [0.666, 0.934, 0.050], [0.934, 0.050, 0.666], [0.950, 0.334, 0.066], [0.334, 0.066, 0.950], [0.692, 0.870, 0.377], [0.623, 0.308, 0.130], [0.130, 0.623, 0.308], [0.308, 0.130, 0.623], [0.377, 0.692, 0.870], [0.870, 0.377, 0.692], [0.000, 0.000, 0.000]], "vol_a3_per_atom": 44.94, "magmom_total_mub_per_atom": 0.0001, "e_tot_ev_per_atom": -4.4617, "rho_g_cm3": 7.09, "formation_enthalpy_0k_ev_per_atom": -0.399}